1.
Below is a relaxed structure of TiAl2Ag, with properties calculated at the PBE-GGA level.

Summary:
For the density, the calculation gives 5285 kg/m3. The calculation puts the excess energy over the best structure of this formula in the dataset at 220 meV/atom. Its formation energy is -65 meV per atom. Its crystal system is cubic.

Unit cell a=4.5335 b=4.5335 c=4.5335 alpha=60.00 beta=60.00 gamma=60.00
Fractional positions:
Ti 0.0000 0.0000 0.0000
Al 0.2500 0.2500 0.2500
Al 0.7500 0.7500 0.7500
Ag 0.5000 0.5000 0.5000

---

2.
Below is a relaxed structure of Sc2FeRu, with properties calculated at the PBE-GGA level.

Summary:
For the density, the calculation gives 5991 kg/m3. Its formation energy is 30 meV per atom. Its crystal system is trigonal.

Unit cell a=8.3846 b=8.3846 c=8.3846 alpha=21.35 beta=21.35 gamma=21.35
Fractional positions:
Sc 0.2485 0.2485 0.2485
Sc 0.7515 0.7515 0.7515
Fe 0.0000 0.0000 0.0000
Ru 0.5000 0.5000 0.5000

---

3.
Below is a relaxed structure of Ac2GaGe4, with properties calculated at the PBE-GGA level.

Summary:
For the density, the calculation gives 7177 kg/m3. Its formation energy is -402 meV per atom. Its crystal system is orthorhombic.

Unit cell a=6.6218 b=6.6148 c=6.1424 alpha=62.41 beta=62.29 gamma=55.30
Fractional positions:
Ac 0.0000 0.0000 0.5000
Ac 0.5000 0.5000 0.0000
Ga 0.3704 0.3704 0.6296
Ge 0.5243 0.9614 0.4757
Ge 0.5312 0.9602 0.0398
Ge 0.9602 0.5312 0.4688
Ge 0.9614 0.5243 0.0386

---

4.
Below is a relaxed structure of Si17NO34, with properties calculated at the PBE-GGA level.

Summary:
For the formation energy from raw total energies, the calculation gives -2.633 eV/atom. For the density, the calculation gives 1716 kg/m3. Its crystal system is cubic.

Unit cell a=14.1501 b=14.1501 c=14.1501 alpha=60.00 beta=60.00 gamma=60.00
Fractional positions:
Si 0.0059 0.2357 0.6292
Si 0.0059 0.6292 0.2357
Si 0.0059 0.6292 0.6292
Si 0.1250 0.1250 0.1250
Si 0.1521 0.7826 0.7826
Si 0.2174 0.2174 0.2174
Si 0.2174 0.2174 0.8479
Si 0.2174 0.8479 0.2174
Si 0.2357 0.0059 0.6292
Si 0.2357 0.6292 0.0059
Si 0.2357 0.6292 0.6292
Si 0.3708 0.3708 0.7643
Si 0.3708 0.3708 0.9941
Si 0.3708 0.7643 0.3708
Si 0.3708 0.7643 0.9941
Si 0.3708 0.9941 0.3708
Si 0.3708 0.9941 0.7643
Si 0.6292 0.0059 0.2357
Si 0.6292 0.0059 0.6292
Si 0.6292 0.2357 0.0059
Si 0.6292 0.2357 0.6292
Si 0.6292 0.6292 0.0059
Si 0.6292 0.6292 0.2357
Si 0.7643 0.3708 0.3708
Si 0.7643 0.3708 0.9941
Si 0.7643 0.9941 0.3708
Si 0.7826 0.1521 0.7826
Si 0.7826 0.7826 0.1521
Si 0.7826 0.7826 0.7826
Si 0.8479 0.2174 0.2174
Si 0.8750 0.8750 0.8750
Si 0.9941 0.3708 0.3708
Si 0.9941 0.3708 0.7643
Si 0.9941 0.7643 0.3708
N 0.3750 0.3750 0.3750
N 0.6250 0.6250 0.6250
O 0.0000 0.3148 0.5000
O 0.0000 0.3148 0.6852
O 0.0000 0.5000 0.3148
O 0.0000 0.5000 0.6852
O 0.0000 0.6852 0.3148
O 0.0000 0.6852 0.5000
O 0.0133 0.8289 0.8289
O 0.1070 0.2943 0.2943
O 0.1070 0.2943 0.8044
O 0.1070 0.8044 0.2943
O 0.1239 0.1239 0.6261
O 0.1239 0.6261 0.1239
O 0.1239 0.6261 0.6261
O 0.1711 0.1711 0.1711
O 0.1711 0.1711 0.9867
O 0.1711 0.9867 0.1711
O 0.1956 0.7057 0.7057
O 0.1956 0.7057 0.8930
O 0.1956 0.8930 0.7057
O 0.2943 0.1070 0.2943
O 0.2943 0.1070 0.8044
O 0.2943 0.2943 0.1070
O 0.2943 0.2943 0.8044
O 0.2943 0.8044 0.1070
O 0.2943 0.8044 0.2943
O 0.3148 0.0000 0.5000
O 0.3148 0.0000 0.6852
O 0.3148 0.5000 0.0000
O 0.3148 0.5000 0.6852
O 0.3148 0.6852 0.0000
O 0.3148 0.6852 0.5000
O 0.3739 0.3739 0.8761
O 0.3739 0.8761 0.3739
O 0.3739 0.8761 0.8761
O 0.5000 0.0000 0.3148
O 0.5000 0.0000 0.6852
O 0.5000 0.3148 0.0000
O 0.5000 0.3148 0.6852
O 0.5000 0.6852 0.0000
O 0.5000 0.6852 0.3148
O 0.6261 0.1239 0.1239
O 0.6261 0.1239 0.6261
O 0.6261 0.6261 0.1239
O 0.6852 0.0000 0.3148
O 0.6852 0.0000 0.5000
O 0.6852 0.3148 0.0000
O 0.6852 0.3148 0.5000
O 0.6852 0.5000 0.0000
O 0.6852 0.5000 0.3148
O 0.7057 0.1956 0.7057
O 0.7057 0.1956 0.8930
O 0.7057 0.7057 0.1956
O 0.7057 0.7057 0.8930
O 0.7057 0.8930 0.1956
O 0.7057 0.8930 0.7057
O 0.8044 0.1070 0.2943
O 0.8044 0.2943 0.1070
O 0.8044 0.2943 0.2943
O 0.8289 0.0133 0.8289
O 0.8289 0.8289 0.0133
O 0.8289 0.8289 0.8289
O 0.8761 0.3739 0.3739
O 0.8761 0.3739 0.8761
O 0.8761 0.8761 0.3739
O 0.8930 0.1956 0.7057
O 0.8930 0.7057 0.1956
O 0.8930 0.7057 0.7057
O 0.9867 0.1711 0.1711